No. 1
Below is an optimized crystal structure of Rb3SiAs2, with properties calculated at the GGA-PBE level.

Geometry as POSCAR:
```
Rb3SiAs2
1.0
-4.459 7.624 3.359
4.459 -7.624 3.359
4.459 7.624 -3.359
Rb Si As
6 2 4
Cartesian
5.978 2.881 0.000
0.000 0.000 1.679
1.519 4.743 0.000
2.941 2.881 3.359
0.000 0.000 5.038
-1.519 4.743 3.359
4.459 0.000 1.679
0.000 7.624 1.679
3.025 1.083 0.000
3.025 -1.083 3.359
1.435 8.707 0.000
1.435 6.541 3.359
```

Output
* formation energy without anion corrections: -0.275 eV per atom

---

No. 2
Below is an optimized crystal structure of RbSiAs, with properties calculated at the GGA-PBE level.

Geometry as POSCAR:
```
RbSiAs
1.0
3.768 0.000 0.000
0.007 6.076 0.000
1.881 2.999 8.590
Rb Si As
2 2 2
Cartesian
0.944 3.013 2.564
4.712 6.062 6.026
2.824 3.009 7.931
2.833 6.066 0.659
2.824 3.025 5.663
2.832 6.050 2.926
```

Output
* formation energy without anion corrections: -0.087 eV per atom

---

No. 3
Below is an optimized crystal structure of Rb2Si2As, with properties calculated at the GGA-PBE level.

Geometry as POSCAR:
```
Rb2Si2As
1.0
-2.449 2.449 6.789
2.449 -2.449 6.789
2.449 2.449 -6.789
Rb Si As
2 2 1
Cartesian
2.449 0.000 3.395
0.000 2.449 3.395
0.000 0.000 1.070
0.000 0.000 12.509
0.000 0.000 6.789
```

Output
* formation energy without anion corrections: 0.593 eV per atom
* energy relative to the lowest polymorph listed for this composition: 424 meV/atom

---

No. 4
Below is an optimized crystal structure of Rb2TaSiAs, with properties calculated at the GGA-PBE level.

Geometry as POSCAR:
```
Rb2TaSiAs
1.0
7.078 0.000 0.000
0.000 7.078 0.000
0.000 0.000 4.905
Rb Ta Si As
2 1 1 1
Cartesian
0.000 3.539 0.000
3.539 0.000 0.000
0.000 0.000 0.000
3.539 3.539 2.452
0.000 0.000 2.452
```

Output
* formation energy without anion corrections: 1.169 eV per atom

---

No. 5
Below is an optimized crystal structure of RbZnSi2As, with properties calculated at the GGA-PBE level.

Geometry as POSCAR:
```
RbZnSi2As
1.0
4.802 0.000 0.000
0.000 4.802 0.000
0.000 0.000 5.591
Rb Zn Si As
1 1 2 1
Cartesian
0.000 0.000 0.000
0.000 0.000 2.796
0.000 2.401 2.796
2.401 0.000 2.796
2.401 2.401 0.000
```

Output
* formation energy without anion corrections: 0.843 eV per atom

---

No. 6
Below is an optimized crystal structure of RbSnAs2, with properties calculated at the GGA-PBE level.

Geometry as POSCAR:
```
RbSnAs2
1.0
1.987 1.147 8.656
-1.987 1.147 8.656
0.000 -2.294 8.656
Rb Sn As
1 1 2
Cartesian
0.000 0.000 0.000
0.000 0.000 12.984
0.000 0.000 5.955
0.000 0.000 20.012
```

Output
* energy relative to the elements: -0.24 eV/f.u.